# LiHo3Ag4 (PBE, relaxed)
# - V: 537.5 Å³/cell
# - Formation enthalpy at 0 K: -0.26 eV per atom
# - Crystal system: trigonal
# - Raw total energy: -3.641 eV per atom
data_LiHo3Ag4
_chemical_formula_sum 'Li3 Ho9 Ag12'
_cell_length_a 5.0278
_cell_length_b 5.0278
_cell_length_c 24.5514
_cell_angle_alpha 90.00
_cell_angle_beta 90.00
_cell_angle_gamma 120.00
_symmetry_space_group_name_H-M 'R -3 m'
_symmetry_Int_Tables_number 166
_symmetry_space_group_name_Hall '-R 3 2"'
loop_
_atom_site_label
_atom_site_type_symbol
_atom_site_fract_x
_atom_site_fract_y
_atom_site_fract_z
Li1 Li 0.0000 0.0000 0.0000
Ho1 Ho 0.0000 0.0000 0.2532
Ho2 Ho 0.0000 0.0000 0.5000
Ag1 Ag 0.0000 0.0000 0.1237
Ag2 Ag 0.0000 0.0000 0.3759

***

# LiHoAg (PBE, relaxed)
# - V: 64.9 Å³/cell
# - Formation enthalpy at 0 K: -0.12 eV per atom
# - Crystal system: hexagonal
# - Raw total energy: -3.238 eV per atom
data_LiHoAg
_chemical_formula_sum 'Li1 Ho1 Ag1'
_cell_length_a 4.6384
_cell_length_b 4.6384
_cell_length_c 3.4856
_cell_angle_alpha 90.00
_cell_angle_beta 90.00
_cell_angle_gamma 120.00
_symmetry_space_group_name_H-M 'P -6 m 2'
_symmetry_Int_Tables_number 187
_symmetry_space_group_name_Hall 'P -6 2'
loop_
_atom_site_label
_atom_site_type_symbol
_atom_site_fract_x
_atom_site_fract_y
_atom_site_fract_z
Li1 Li 0.0000 0.0000 0.0000
Ho1 Ho 0.6667 0.3333 0.5000
Ag1 Ag 0.3333 0.6667 0.0000

***

# Li3Ho2Ag4 (PBE, relaxed)
# - V: 711.9 Å³/cell
# - Formation enthalpy at 0 K: -0.19 eV per atom
# - Crystal system: orthorhombic
# - Raw total energy: -3.113 eV per atom
data_Li3Ho2Ag4
_chemical_formula_sum 'Li12 Ho8 Ag16'
_cell_length_a 5.7813
_cell_length_b 15.5884
_cell_length_c 7.8997
_cell_angle_alpha 90.00
_cell_angle_beta 90.00
_cell_angle_gamma 90.00
_symmetry_space_group_name_H-M 'C m c e'
_symmetry_Int_Tables_number 64
_symmetry_space_group_name_Hall '-C 2ac 2'
loop_
_atom_site_label
_atom_site_type_symbol
_atom_site_fract_x
_atom_site_fract_y
_atom_site_fract_z
Li1 Li 0.0000 0.0000 0.0000
Li2 Li 0.2500 0.2213 0.2500
Ho1 Ho 0.0000 0.1101 0.5916
Ag1 Ag 0.0000 0.1804 0.9698
Ag2 Ag 0.2500 0.0543 0.2500

***

# Li2HoAg (PBE, relaxed)
# - V: 311.4 Å³/cell
# - Formation enthalpy at 0 K: 0.03 eV per atom
# - Crystal system: cubic
# - Raw total energy: -2.788 eV per atom
data_Li2HoAg
_chemical_formula_sum 'Li8 Ho4 Ag4'
_cell_length_a 6.7777
_cell_length_b 6.7777
_cell_length_c 6.7777
_cell_angle_alpha 90.00
_cell_angle_beta 90.00
_cell_angle_gamma 90.00
_symmetry_space_group_name_H-M 'F m -3 m'
_symmetry_Int_Tables_number 225
_symmetry_space_group_name_Hall '-F 4 2 3'
loop_
_atom_site_label
_atom_site_type_symbol
_atom_site_fract_x
_atom_site_fract_y
_atom_site_fract_z
Li1 Li 0.2500 0.2500 0.2500
Ho1 Ho 0.0000 0.0000 0.0000
Ag1 Ag 0.0000 0.0000 0.5000

***

# LiHoAg4 (PBE, relaxed)
# - V: 117.8 Å³/cell
# - Formation enthalpy at 0 K: -0.16 eV per atom
# - Crystal system: orthorhombic
# - Raw total energy: -3.141 eV per atom
data_LiHoAg4
_chemical_formula_sum 'Li1 Ho1 Ag4'
_cell_length_a 3.2522
_cell_length_b 4.5215
_cell_length_c 8.0125
_cell_angle_alpha 90.00
_cell_angle_beta 90.00
_cell_angle_gamma 90.00
_symmetry_space_group_name_H-M 'P m m 2'
_symmetry_Int_Tables_number 25
_symmetry_space_group_name_Hall 'P 2 -2'
loop_
_atom_site_label
_atom_site_type_symbol
_atom_site_fract_x
_atom_site_fract_y
_atom_site_fract_z
Li1 Li 0.0000 0.0000 0.0000
Ho1 Ho 0.0000 0.5000 0.5556
Ag1 Ag 0.0000 0.5000 0.1953
Ag2 Ag 0.5000 0.0000 0.3337
Ag3 Ag 0.5000 0.0000 0.7023
Ag4 Ag 0.5000 0.5000 0.9050

***

# Li2HoAg (PBE, relaxed)
# - V: 88.1 Å³/cell
# - Formation enthalpy at 0 K: 0.00 eV per atom
# - Crystal system: tetragonal
# - Raw total energy: -2.816 eV per atom
data_Li2HoAg
_chemical_formula_sum 'Li2 Ho1 Ag1'
_cell_length_a 4.1357
_cell_length_b 4.1357
_cell_length_c 5.1507
_cell_angle_alpha 90.00
_cell_angle_beta 90.00
_cell_angle_gamma 90.00
_symmetry_space_group_name_H-M 'P 4/m m m'
_symmetry_Int_Tables_number 123
_symmetry_space_group_name_Hall '-P 4 2'
loop_
_atom_site_label
_atom_site_type_symbol
_atom_site_fract_x
_atom_site_fract_y
_atom_site_fract_z
Li1 Li 0.0000 0.5000 0.0000
Ho1 Ho 0.0000 0.0000 0.5000
Ag1 Ag 0.5000 0.5000 0.5000

***

# LiHoLuAg (PBE, relaxed)
# - V: 373.4 Å³/cell
# - Formation enthalpy at 0 K: -0.10 eV per atom
# - Crystal system: cubic
# - Raw total energy: -3.571 eV per atom
data_LiHoLuAg
_chemical_formula_sum 'Li4 Ho4 Lu4 Ag4'
_cell_length_a 7.2008
_cell_length_b 7.2008
_cell_length_c 7.2008
_cell_angle_alpha 90.00
_cell_angle_beta 90.00
_cell_angle_gamma 90.00
_symmetry_space_group_name_H-M 'F -4 3 m'
_symmetry_Int_Tables_number 216
_symmetry_space_group_name_Hall 'F -4 2 3'
loop_
_atom_site_label
_atom_site_type_symbol
_atom_site_fract_x
_atom_site_fract_y
_atom_site_fract_z
Li1 Li 0.0000 0.0000 0.0000
Ho1 Ho 0.2500 0.2500 0.2500
Lu1 Lu 0.2500 0.2500 0.7500
Ag1 Ag 0.0000 0.0000 0.5000

***

# LiHoMgAg (PBE, relaxed)
# - V: 338.6 Å³/cell
# - Formation enthalpy at 0 K: -0.15 eV per atom
# - Crystal system: cubic
# - Raw total energy: -2.888 eV per atom
data_LiHoMgAg
_chemical_formula_sum 'Li4 Ho4 Mg4 Ag4'
_cell_length_a 6.9699
_cell_length_b 6.9699
_cell_length_c 6.9699
_cell_angle_alpha 90.00
_cell_angle_beta 90.00
_cell_angle_gamma 90.00
_symmetry_space_group_name_H-M 'F -4 3 m'
_symmetry_Int_Tables_number 216
_symmetry_space_group_name_Hall 'F -4 2 3'
loop_
_atom_site_label
_atom_site_type_symbol
_atom_site_fract_x
_atom_site_fract_y
_atom_site_fract_z
Li1 Li 0.0000 0.0000 0.0000
Ho1 Ho 0.2500 0.2500 0.7500
Mg1 Mg 0.2500 0.2500 0.2500
Ag1 Ag 0.0000 0.0000 0.5000

***

# Li2HoAg2Pb2 (PBE, relaxed)
# - V: 460.5 Å³/cell
# - Formation enthalpy at 0 K: -0.25 eV per atom
# - Crystal system: trigonal
# - Raw total energy: -3.325 eV per atom
data_Li2HoAg2Pb2
_chemical_formula_sum 'Li6 Ho3 Ag6 Pb6'
_cell_length_a 4.7619
_cell_length_b 4.7619
_cell_length_c 23.4509
_cell_angle_alpha 90.00
_cell_angle_beta 90.00
_cell_angle_gamma 120.00
_symmetry_space_group_name_H-M 'R -3 m'
_symmetry_Int_Tables_number 166
_symmetry_space_group_name_Hall '-R 3 2"'
loop_
_atom_site_label
_atom_site_type_symbol
_atom_site_fract_x
_atom_site_fract_y
_atom_site_fract_z
Li1 Li 0.0000 0.0000 0.1402
Ho1 Ho 0.0000 0.0000 0.0000
Ag1 Ag 0.0000 0.0000 0.4378
Pb1 Pb 0.0000 0.0000 0.2648

***

# LiPmHoAg (PBE, relaxed)
# - V: 403.2 Å³/cell
# - Formation enthalpy at 0 K: -0.08 eV per atom
# - Crystal system: cubic
# - Raw total energy: -3.601 eV per atom
data_LiPmHoAg
_chemical_formula_sum 'Li4 Pm4 Ho4 Ag4'
_cell_length_a 7.3874
_cell_length_b 7.3874
_cell_length_c 7.3874
_cell_angle_alpha 90.00
_cell_angle_beta 90.00
_cell_angle_gamma 90.00
_symmetry_space_group_name_H-M 'F -4 3 m'
_symmetry_Int_Tables_number 216
_symmetry_space_group_name_Hall 'F -4 2 3'
loop_
_atom_site_label
_atom_site_type_symbol
_atom_site_fract_x
_atom_site_fract_y
_atom_site_fract_z
Li1 Li 0.0000 0.0000 0.0000
Pm1 Pm 0.2500 0.2500 0.7500
Ho1 Ho 0.2500 0.2500 0.2500
Ag1 Ag 0.0000 0.0000 0.5000

***

# LiPrHoAg (PBE, relaxed)
# - V: 413.0 Å³/cell
# - Formation enthalpy at 0 K: -0.07 eV per atom
# - Crystal system: cubic
# - Raw total energy: -3.598 eV per atom
data_LiPrHoAg
_chemical_formula_sum 'Li4 Pr4 Ho4 Ag4'
_cell_length_a 7.4471
_cell_length_b 7.4471
_cell_length_c 7.4471
_cell_angle_alpha 90.00
_cell_angle_beta 90.00
_cell_angle_gamma 90.00
_symmetry_space_group_name_H-M 'F -4 3 m'
_symmetry_Int_Tables_number 216
_symmetry_space_group_name_Hall 'F -4 2 3'
loop_
_atom_site_label
_atom_site_type_symbol
_atom_site_fract_x
_atom_site_fract_y
_atom_site_fract_z
Li1 Li 0.0000 0.0000 0.0000
Pr1 Pr 0.2500 0.2500 0.7500
Ho1 Ho 0.2500 0.2500 0.2500
Ag1 Ag 0.0000 0.0000 0.5000

***

# LiHoAgSb (PBE, relaxed)
# - V: 358.0 Å³/cell
# - Crystal system: cubic
# - Formation energy from raw total energies: -529 meV/atom
# - Raw total energy: -3.895 eV per atom
data_LiHoAgSb
_chemical_formula_sum 'Li4 Ho4 Ag4 Sb4'
_cell_length_a 7.1004
_cell_length_b 7.1004
_cell_length_c 7.1004
_cell_angle_alpha 90.00
_cell_angle_beta 90.00
_cell_angle_gamma 90.00
_symmetry_space_group_name_H-M 'F -4 3 m'
_symmetry_Int_Tables_number 216
_symmetry_space_group_name_Hall 'F -4 2 3'
loop_
_atom_site_label
_atom_site_type_symbol
_atom_site_fract_x
_atom_site_fract_y
_atom_site_fract_z
Li1 Li 0.0000 0.0000 0.0000
Ho1 Ho 0.0000 0.0000 0.5000
Ag1 Ag 0.2500 0.2500 0.2500
Sb1 Sb 0.2500 0.2500 0.7500

***

# LiHoScAg (PBE, relaxed)
# - V: 353.6 Å³/cell
# - Formation enthalpy at 0 K: -0.08 eV per atom
# - Crystal system: cubic
# - Raw total energy: -3.996 eV per atom
data_LiHoScAg
_chemical_formula_sum 'Li4 Ho4 Sc4 Ag4'
_cell_length_a 7.0713
_cell_length_b 7.0713
_cell_length_c 7.0713
_cell_angle_alpha 90.00
_cell_angle_beta 90.00
_cell_angle_gamma 90.00
_symmetry_space_group_name_H-M 'F -4 3 m'
_symmetry_Int_Tables_number 216
_symmetry_space_group_name_Hall 'F -4 2 3'
loop_
_atom_site_label
_atom_site_type_symbol
_atom_site_fract_x
_atom_site_fract_y
_atom_site_fract_z
Li1 Li 0.0000 0.0000 0.0000
Ho1 Ho 0.2500 0.2500 0.7500
Sc1 Sc 0.2500 0.2500 0.2500
Ag1 Ag 0.0000 0.0000 0.5000

***

# LiHo2AgSe4 (PBE, relaxed)
# - V: 190.3 Å³/cell
# - Crystal system: monoclinic
# - Formation energy from raw total energies: -1427 meV/atom
# - Raw total energy: -4.910 eV per atom
data_LiHo2AgSe4
_chemical_formula_sum 'Li1 Ho2 Ag1 Se4'
_cell_length_a 6.9492
_cell_length_b 4.1056
_cell_length_c 7.1004
_cell_angle_alpha 90.00
_cell_angle_beta 110.03
_cell_angle_gamma 90.00
_symmetry_space_group_name_H-M 'P 1 2/m 1'
_symmetry_Int_Tables_number 10
_symmetry_space_group_name_Hall '-P 2y'
loop_
_atom_site_label
_atom_site_type_symbol
_atom_site_fract_x
_atom_site_fract_y
_atom_site_fract_z
Li1 Li 0.0000 0.0000 0.0000
Ho1 Ho 0.5000 0.0000 0.5000
Ho2 Ho 0.5000 0.5000 0.0000
Ag1 Ag 0.0000 0.5000 0.5000
Se1 Se 0.2534 0.0000 0.7540
Se2 Se 0.2530 0.5000 0.2474

***

# LiHoSiAg (PBE, relaxed)
# - V: 308.6 Å³/cell
# - Crystal system: cubic
# - Formation energy from raw total energies: -347 meV/atom
# - Raw total energy: -4.038 eV per atom
data_LiHoSiAg
_chemical_formula_sum 'Li4 Ho4 Si4 Ag4'
_cell_length_a 6.7578
_cell_length_b 6.7578
_cell_length_c 6.7578
_cell_angle_alpha 90.00
_cell_angle_beta 90.00
_cell_angle_gamma 90.00
_symmetry_space_group_name_H-M 'F -4 3 m'
_symmetry_Int_Tables_number 216
_symmetry_space_group_name_Hall 'F -4 2 3'
loop_
_atom_site_label
_atom_site_type_symbol
_atom_site_fract_x
_atom_site_fract_y
_atom_site_fract_z
Li1 Li 0.0000 0.0000 0.0000
Ho1 Ho 0.0000 0.0000 0.5000
Si1 Si 0.2500 0.2500 0.2500
Ag1 Ag 0.2500 0.2500 0.7500

***

# LiHoAgSn (PBE, relaxed)
# - V: 351.6 Å³/cell
# - Formation enthalpy at 0 K: -0.44 eV per atom
# - Crystal system: cubic
# - Raw total energy: -3.776 eV per atom
data_LiHoAgSn
_chemical_formula_sum 'Li4 Ho4 Ag4 Sn4'
_cell_length_a 7.0580
_cell_length_b 7.0580
_cell_length_c 7.0580
_cell_angle_alpha 90.00
_cell_angle_beta 90.00
_cell_angle_gamma 90.00
_symmetry_space_group_name_H-M 'F -4 3 m'
_symmetry_Int_Tables_number 216
_symmetry_space_group_name_Hall 'F -4 2 3'
loop_
_atom_site_label
_atom_site_type_symbol
_atom_site_fract_x
_atom_site_fract_y
_atom_site_fract_z
Li1 Li 0.0000 0.0000 0.0000
Ho1 Ho 0.0000 0.0000 0.5000
Ag1 Ag 0.2500 0.2500 0.7500
Sn1 Sn 0.2500 0.2500 0.2500

***

# SrLiHoAg (PBE, relaxed)
# - V: 439.8 Å³/cell
# - Formation enthalpy at 0 K: -0.02 eV per atom
# - Crystal system: cubic
# - Raw total energy: -2.777 eV per atom
data_SrLiHoAg
_chemical_formula_sum 'Sr4 Li4 Ho4 Ag4'
_cell_length_a 7.6047
_cell_length_b 7.6047
_cell_length_c 7.6047
_cell_angle_alpha 90.00
_cell_angle_beta 90.00
_cell_angle_gamma 90.00
_symmetry_space_group_name_H-M 'F -4 3 m'
_symmetry_Int_Tables_number 216
_symmetry_space_group_name_Hall 'F -4 2 3'
loop_
_atom_site_label
_atom_site_type_symbol
_atom_site_fract_x
_atom_site_fract_y
_atom_site_fract_z
Sr1 Sr 0.0000 0.0000 0.0000
Li1 Li 0.2500 0.2500 0.2500
Ho1 Ho 0.0000 0.0000 0.5000
Ag1 Ag 0.2500 0.2500 0.7500

***

# LiTbHoAg (PBE, relaxed)
# - V: 388.8 Å³/cell
# - Formation enthalpy at 0 K: -0.09 eV per atom
# - Crystal system: cubic
# - Raw total energy: -3.588 eV per atom
data_LiTbHoAg
_chemical_formula_sum 'Li4 Tb4 Ho4 Ag4'
_cell_length_a 7.2984
_cell_length_b 7.2984
_cell_length_c 7.2984
_cell_angle_alpha 90.00
_cell_angle_beta 90.00
_cell_angle_gamma 90.00
_symmetry_space_group_name_H-M 'F -4 3 m'
_symmetry_Int_Tables_number 216
_symmetry_space_group_name_Hall 'F -4 2 3'
loop_
_atom_site_label
_atom_site_type_symbol
_atom_site_fract_x
_atom_site_fract_y
_atom_site_fract_z
Li1 Li 0.0000 0.0000 0.0000
Tb1 Tb 0.2500 0.2500 0.7500
Ho1 Ho 0.2500 0.2500 0.2500
Ag1 Ag 0.0000 0.0000 0.5000

***

# LiHoTlAg (PBE, relaxed)
# - V: 353.4 Å³/cell
# - Formation enthalpy at 0 K: -0.27 eV per atom
# - Crystal system: cubic
# - Raw total energy: -3.198 eV per atom
data_LiHoTlAg
_chemical_formula_sum 'Li4 Ho4 Tl4 Ag4'
_cell_length_a 7.0697
_cell_length_b 7.0697
_cell_length_c 7.0697
_cell_angle_alpha 90.00
_cell_angle_beta 90.00
_cell_angle_gamma 90.00
_symmetry_space_group_name_H-M 'F -4 3 m'
_symmetry_Int_Tables_number 216
_symmetry_space_group_name_Hall 'F -4 2 3'
loop_
_atom_site_label
_atom_site_type_symbol
_atom_site_fract_x
_atom_site_fract_y
_atom_site_fract_z
Li1 Li 0.0000 0.0000 0.0000
Ho1 Ho 0.0000 0.0000 0.5000
Tl1 Tl 0.2500 0.2500 0.7500
Ag1 Ag 0.2500 0.2500 0.2500

***

# LiHoTmAg (PBE, relaxed)
# - V: 377.7 Å³/cell
# - Formation enthalpy at 0 K: -0.10 eV per atom
# - Crystal system: cubic
# - Raw total energy: -3.557 eV per atom
data_LiHoTmAg
_chemical_formula_sum 'Li4 Ho4 Tm4 Ag4'
_cell_length_a 7.2287
_cell_length_b 7.2287
_cell_length_c 7.2287
_cell_angle_alpha 90.00
_cell_angle_beta 90.00
_cell_angle_gamma 90.00
_symmetry_space_group_name_H-M 'F -4 3 m'
_symmetry_Int_Tables_number 216
_symmetry_space_group_name_Hall 'F -4 2 3'
loop_
_atom_site_label
_atom_site_type_symbol
_atom_site_fract_x
_atom_site_fract_y
_atom_site_fract_z
Li1 Li 0.0000 0.0000 0.0000
Ho1 Ho 0.2500 0.2500 0.7500
Tm1 Tm 0.2500 0.2500 0.2500
Ag1 Ag 0.0000 0.0000 0.5000